Entry 1:
# Si2NiOs2 (PBE, relaxed)
data_Si2NiOs2
_space_group_name_H-M_alt 'P 4/m b m'
_space_group_IT_number 127
_space_group_name_Hall '-P 4 2ab'
_cell_length_a 6.895
_cell_length_b 6.895
_cell_length_c 2.876
_cell_angle_alpha 90.00
_cell_angle_beta 90.00
_cell_angle_gamma 90.00
loop_
_atom_site_label
_atom_site_fract_x
_atom_site_fract_y
_atom_site_fract_z
Si1 0.152 0.348 0.000
Ni1 0.000 0.000 0.500
Os1 0.146 0.646 0.500
# - Formation energy without anion corrections: -0.065 eV per atom
# - Theoretical density: 12.03 g cm⁻³
# - Calculated total energy: -78.8 eV per cell

***

Entry 2:
# Si2NiOs (PBE, relaxed)
data_Si2NiOs
_space_group_name_H-M_alt 'C m m 2'
_space_group_IT_number 35
_cell_length_a 2.924
_cell_length_b 4.631
_cell_length_c 7.878
_cell_angle_alpha 90.00
_cell_angle_beta 90.00
_cell_angle_gamma 90.00
loop_
_space_group_symop_operation_xyz
'x,y,z'
'-x,-y,z'
'-x,y,z'
'x,-y,z'
'x+1/2,y+1/2,z'
'-x+1/2,-y+1/2,z'
'-x+1/2,y+1/2,z'
'x+1/2,-y+1/2,z'
loop_
_atom_site_label
_atom_site_fract_x
_atom_site_fract_y
_atom_site_fract_z
Si1 0.000 0.000 0.000
Si2 0.000 0.500 0.258
Ni1 0.000 0.000 0.478
Os1 0.000 0.500 0.760
# - Formation energy without anion corrections: 0.258 eV per atom
# - Theoretical density: 9.50 g cm⁻³
# - Calculated total energy: -53.6 eV per cell

***

Entry 3:
# Si2NiOs (PBE, relaxed)
data_Si2NiOs
_space_group_name_H-M_alt 'C m m m'
_space_group_IT_number 65
_space_group_name_Hall '-C 2 2'
_cell_length_a 2.793
_cell_length_b 4.973
_cell_length_c 7.732
_cell_angle_alpha 90.00
_cell_angle_beta 90.00
_cell_angle_gamma 90.00
loop_
_atom_site_label
_atom_site_fract_x
_atom_site_fract_y
_atom_site_fract_z
Si1 0.000 0.000 0.243
Ni1 0.000 0.500 0.000
Os1 0.000 0.500 0.500
# - Formation energy without anion corrections: 0.044 eV per atom
# - Theoretical density: 9.43 g cm⁻³
# - Calculated total energy: -55.4 eV per cell

***

Entry 4:
# Si2NiOs (PBE, relaxed)
data_Si2NiOs
_space_group_name_H-M_alt 'P 4 m m'
_space_group_IT_number 99
_cell_length_a 2.728
_cell_length_b 2.728
_cell_length_c 7.194
_cell_angle_alpha 90.00
_cell_angle_beta 90.00
_cell_angle_gamma 90.00
loop_
_space_group_symop_operation_xyz
'x,y,z'
'-y,x,z'
'-x,-y,z'
'y,-x,z'
'-x,y,z'
'y,x,z'
'x,-y,z'
'-y,-x,z'
loop_
_atom_site_label
_atom_site_fract_x
_atom_site_fract_y
_atom_site_fract_z
Si1 0.000 0.000 0.000
Si2 0.500 0.500 0.314
Ni1 0.000 0.000 0.517
Os1 0.500 0.500 0.773
# - Formation energy without anion corrections: 0.120 eV per atom
# - Theoretical density: 9.46 g cm⁻³
# - Calculated total energy: -27.4 eV per cell

***

Entry 5:
# SiNiOs (PBE, relaxed)
data_SiNiOs
_space_group_name_H-M_alt 'I 4 m m'
_space_group_IT_number 107
_space_group_name_Hall 'I 4 -2'
_cell_length_a 2.891
_cell_length_b 2.891
_cell_length_c 8.869
_cell_angle_alpha 90.00
_cell_angle_beta 90.00
_cell_angle_gamma 90.00
loop_
_atom_site_label
_atom_site_fract_x
_atom_site_fract_y
_atom_site_fract_z
Si1 0.000 0.000 0.000
Ni1 0.000 0.000 0.643
Os1 0.000 0.000 0.340
# - Formation energy without anion corrections: -0.145 eV per atom
# - Theoretical density: 12.41 g cm⁻³
# - Calculated total energy: -45.7 eV per cell

***

Entry 6:
# SiNiOs2 (PBE, relaxed)
data_SiNiOs2
_space_group_name_H-M_alt 'I -4 m 2'
_space_group_IT_number 119
_space_group_name_Hall 'I -4 -2'
_cell_length_a 3.720
_cell_length_b 3.720
_cell_length_c 7.507
_cell_angle_alpha 90.00
_cell_angle_beta 90.00
_cell_angle_gamma 90.00
loop_
_atom_site_label
_atom_site_fract_x
_atom_site_fract_y
_atom_site_fract_z
Si1 0.000 0.000 0.000
Ni1 0.000 0.500 0.750
Os1 0.000 0.000 0.500
Os2 0.000 0.500 0.250
# - Formation energy without anion corrections: -0.010 eV per atom
# - Theoretical density: 14.94 g cm⁻³
# - Calculated total energy: -67.4 eV per cell

***

Entry 7:
# SiNiOs2 (PBE, relaxed)
data_SiNiOs2
_space_group_name_H-M_alt 'P 1 2/m 1'
_space_group_IT_number 10
_cell_length_a 2.778
_cell_length_b 3.797
_cell_length_c 5.153
_cell_angle_alpha 90.00
_cell_angle_beta 101.33
_cell_angle_gamma 90.00
loop_
_space_group_symop_operation_xyz
'x,y,z'
'-x,-y,-z'
'-x,y,-z'
'x,-y,z'
loop_
_atom_site_label
_atom_site_fract_x
_atom_site_fract_y
_atom_site_fract_z
Si1 0.000 0.000 0.000
Ni1 0.000 0.000 0.500
Os1 0.366 0.500 0.244
# - Formation energy without anion corrections: 0.038 eV per atom
# - Theoretical density: 14.56 g cm⁻³
# - Calculated total energy: -33.5 eV per cell

***

Entry 8:
# SiNiOs (PBE, relaxed)
data_SiNiOs
_space_group_name_H-M_alt 'F m m 2'
_space_group_IT_number 42
_space_group_name_Hall 'F 2 -2'
_cell_length_a 2.929
_cell_length_b 4.580
_cell_length_c 11.654
_cell_angle_alpha 90.00
_cell_angle_beta 90.00
_cell_angle_gamma 90.00
loop_
_atom_site_label
_atom_site_fract_x
_atom_site_fract_y
_atom_site_fract_z
Si1 0.000 0.000 0.000
Ni1 0.000 0.000 0.647
Os1 0.000 0.000 0.339
# - Formation energy without anion corrections: 0.102 eV per atom
# - Theoretical density: 11.77 g cm⁻³
# - Calculated total energy: -88.5 eV per cell

***

Entry 9:
# SiNi3Os (PBE, relaxed)
data_SiNi3Os
_space_group_name_H-M_alt 'P m -3 m'
_space_group_IT_number 221
_space_group_name_Hall '-P 4 2 3'
_cell_length_a 4.102
_cell_length_b 4.102
_cell_length_c 4.102
_cell_angle_alpha 90.00
_cell_angle_beta 90.00
_cell_angle_gamma 90.00
loop_
_atom_site_label
_atom_site_fract_x
_atom_site_fract_y
_atom_site_fract_z
Si1 0.000 0.000 0.000
Ni1 0.000 0.000 0.500
Os1 0.500 0.500 0.500
# - Formation energy without anion corrections: 0.883 eV per atom
# - Theoretical density: 9.49 g cm⁻³
# - Calculated total energy: -29.6 eV per cell

***

Entry 10:
# Si2NiOs (PBE, relaxed)
data_Si2NiOs
_space_group_name_H-M_alt 'R 3 m'
_space_group_IT_number 160
_space_group_name_Hall 'R 3 -2"'
_cell_length_a 2.8571
_cell_length_b 2.8571
_cell_length_c 22.4787
_cell_angle_alpha 90.00
_cell_angle_beta 90.00
_cell_angle_gamma 120.00
loop_
_atom_site_label
_atom_site_fract_x
_atom_site_fract_y
_atom_site_fract_z
Si1 0.0000 0.0000 0.0000
Si2 0.0000 0.0000 0.2450
Ni1 0.0000 0.0000 0.5070
Os1 0.0000 0.0000 0.7452
# - Formation energy without anion corrections: 0.014 eV per atom
# - Theoretical density: 9.56 g cm⁻³
# - Calculated total energy: -83.4 eV per cell

***

Entry 11:
# SiNiOs2 (PBE, relaxed)
data_SiNiOs2
_space_group_name_H-M_alt 'I m m m'
_space_group_IT_number 71
_space_group_name_Hall '-I 2 2'
_cell_length_a 2.777
_cell_length_b 4.122
_cell_length_c 9.550
_cell_angle_alpha 90.00
_cell_angle_beta 90.00
_cell_angle_gamma 90.00
loop_
_atom_site_label
_atom_site_fract_x
_atom_site_fract_y
_atom_site_fract_z
Si1 0.000 0.000 0.000
Ni1 0.000 0.000 0.500
Os1 0.000 0.500 0.294
# - Formation energy without anion corrections: -0.016 eV per atom
# - Theoretical density: 14.19 g cm⁻³
# - Calculated total energy: -67.5 eV per cell

***

Entry 12:
# SiNiOs2 (PBE, relaxed)
data_SiNiOs2
_space_group_name_H-M_alt 'C 1 2/m 1'
_space_group_IT_number 12
_cell_length_a 5.290
_cell_length_b 8.572
_cell_length_c 2.700
_cell_angle_alpha 90.00
_cell_angle_beta 118.40
_cell_angle_gamma 90.00
loop_
_space_group_symop_operation_xyz
'x,y,z'
'-x,-y,-z'
'-x,y,-z'
'x,-y,z'
'x+1/2,y+1/2,z'
'-x+1/2,-y+1/2,-z'
'-x+1/2,y+1/2,-z'
'x+1/2,-y+1/2,z'
loop_
_atom_site_label
_atom_site_fract_x
_atom_site_fract_y
_atom_site_fract_z
Si1 0.000 0.000 0.000
Ni1 0.000 0.500 0.000
Os1 0.250 0.250 0.500
# - Formation energy without anion corrections: 0.241 eV per atom
# - Theoretical density: 14.41 g cm⁻³
# - Calculated total energy: -65.4 eV per cell

***

Entry 13:
# SiNiOs2 (PBE, relaxed)
data_SiNiOs2
_space_group_name_H-M_alt 'C m m m'
_space_group_IT_number 65
_space_group_name_Hall '-C 2 2'
_cell_length_a 2.833
_cell_length_b 4.673
_cell_length_c 8.191
_cell_angle_alpha 90.00
_cell_angle_beta 90.00
_cell_angle_gamma 90.00
loop_
_atom_site_label
_atom_site_fract_x
_atom_site_fract_y
_atom_site_fract_z
Si1 0.000 0.000 0.000
Ni1 0.000 0.000 0.500
Os1 0.000 0.500 0.237
# - Formation energy without anion corrections: 0.298 eV per atom
# - Theoretical density: 14.31 g cm⁻³
# - Calculated total energy: -64.9 eV per cell

***

Entry 14:
# Si4NiOs (PBE, relaxed)
data_Si4NiOs
_space_group_name_H-M_alt 'F -4 3 m'
_space_group_IT_number 216
_space_group_name_Hall 'F -4 2 3'
_cell_length_a 6.784
_cell_length_b 6.784
_cell_length_c 6.784
_cell_angle_alpha 90.00
_cell_angle_beta 90.00
_cell_angle_gamma 90.00
loop_
_atom_site_label
_atom_site_fract_x
_atom_site_fract_y
_atom_site_fract_z
Si1 0.125 0.125 0.125
Ni1 0.250 0.250 0.750
Os1 0.000 0.000 0.500
# - Formation energy without anion corrections: 0.549 eV per atom
# - Theoretical density: 7.68 g cm⁻³
# - Calculated total energy: -141.6 eV per cell

***

Entry 15:
# SiNiOs2 (PBE, relaxed)
data_SiNiOs2
_space_group_name_H-M_alt 'C 1 2/m 1'
_space_group_IT_number 12
_cell_length_a 8.469
_cell_length_b 2.719
_cell_length_c 4.761
_cell_angle_alpha 90.00
_cell_angle_beta 104.26
_cell_angle_gamma 90.00
loop_
_space_group_symop_operation_xyz
'x,y,z'
'-x,-y,-z'
'-x,y,-z'
'x,-y,z'
'x+1/2,y+1/2,z'
'-x+1/2,-y+1/2,-z'
'-x+1/2,y+1/2,-z'
'x+1/2,-y+1/2,z'
loop_
_atom_site_label
_atom_site_fract_x
_atom_site_fract_y
_atom_site_fract_z
Si1 0.000 0.000 0.000
Ni1 0.000 0.500 0.500
Os1 0.235 0.500 0.255
# - Formation energy without anion corrections: 0.013 eV per atom
# - Theoretical density: 14.61 g cm⁻³
# - Calculated total energy: -67.2 eV per cell

***

Entry 16:
# SiNiOs2 (PBE, relaxed)
data_SiNiOs2
_space_group_name_H-M_alt 'P 1 m 1'
_space_group_IT_number 6
_cell_length_a 2.773
_cell_length_b 3.818
_cell_length_c 5.229
_cell_angle_alpha 90.00
_cell_angle_beta 105.29
_cell_angle_gamma 90.00
loop_
_space_group_symop_operation_xyz
'x,y,z'
'x,-y,z'
loop_
_atom_site_label
_atom_site_fract_x
_atom_site_fract_y
_atom_site_fract_z
Si1 0.000 0.000 0.000
Ni1 0.581 0.500 0.168
Os1 0.230 0.000 0.467
Os2 0.845 0.500 0.698
# - Formation energy without anion corrections: -0.072 eV per atom
# - Theoretical density: 14.53 g cm⁻³
# - Calculated total energy: -34.0 eV per cell

***

Entry 17:
# Si2NiOs (PBE, relaxed)
data_Si2NiOs
_space_group_name_H-M_alt 'P 4 m m'
_space_group_IT_number 99
_cell_length_a 3.147
_cell_length_b 3.147
_cell_length_c 5.115
_cell_angle_alpha 90.00
_cell_angle_beta 90.00
_cell_angle_gamma 90.00
loop_
_space_group_symop_operation_xyz
'x,y,z'
'-y,x,z'
'-x,-y,z'
'y,-x,z'
'-x,y,z'
'y,x,z'
'x,-y,z'
'-y,-x,z'
loop_
_atom_site_label
_atom_site_fract_x
_atom_site_fract_y
_atom_site_fract_z
Si1 0.000 0.000 0.000
Si2 0.500 0.500 0.295
Ni1 0.000 0.000 0.447
Os1 0.500 0.500 0.797
# - Formation energy without anion corrections: -0.368 eV per atom
# - Theoretical density: 10.00 g cm⁻³
# - Calculated total energy: -29.3 eV per cell

***

Entry 18:
# Si2NiOs (PBE, relaxed)
data_Si2NiOs
_space_group_name_H-M_alt 'C 1 2/m 1'
_space_group_IT_number 12
_cell_length_a 7.815
_cell_length_b 2.895
_cell_length_c 4.580
_cell_angle_alpha 90.00
_cell_angle_beta 100.63
_cell_angle_gamma 90.00
loop_
_space_group_symop_operation_xyz
'x,y,z'
'-x,-y,-z'
'-x,y,-z'
'x,-y,z'
'x+1/2,y+1/2,z'
'-x+1/2,-y+1/2,-z'
'-x+1/2,y+1/2,-z'
'x+1/2,-y+1/2,z'
loop_
_atom_site_label
_atom_site_fract_x
_atom_site_fract_y
_atom_site_fract_z
Si1 0.247 0.000 0.247
Ni1 0.000 0.000 0.500
Os1 0.000 0.500 0.000
# - Formation energy without anion corrections: -0.216 eV per atom
# - Theoretical density: 9.95 g cm⁻³
# - Calculated total energy: -57.4 eV per cell

***

Entry 19:
# Si2NiOs (PBE, relaxed)
data_Si2NiOs
_space_group_name_H-M_alt 'R -3 m'
_space_group_IT_number 166
_space_group_name_Hall '-R 3 2"'
_cell_length_a 2.8106
_cell_length_b 2.8106
_cell_length_c 22.4944
_cell_angle_alpha 90.00
_cell_angle_beta 90.00
_cell_angle_gamma 120.00
loop_
_atom_site_label
_atom_site_fract_x
_atom_site_fract_y
_atom_site_fract_z
Si1 0.0000 0.0000 0.2475
Ni1 0.0000 0.0000 0.5000
Os1 0.0000 0.0000 0.0000
# - Formation energy without anion corrections: -0.197 eV per atom
# - Theoretical density: 9.88 g cm⁻³
# - Calculated total energy: -85.9 eV per cell

***

Entry 20:
# SiNiOs2 (PBE, relaxed)
data_SiNiOs2
_space_group_name_H-M_alt 'R -3 m'
_space_group_IT_number 166
_space_group_name_Hall '-R 3 2"'
_cell_length_a 2.7596
_cell_length_b 2.7596
_cell_length_c 24.1230
_cell_angle_alpha 90.00
_cell_angle_beta 90.00
_cell_angle_gamma 120.00
loop_
_atom_site_label
_atom_site_fract_x
_atom_site_fract_y
_atom_site_fract_z
Si1 0.0000 0.0000 0.0000
Ni1 0.0000 0.0000 0.5000
Os1 0.0000 0.0000 0.2534
# - Formation energy without anion corrections: 0.066 eV per atom
# - Theoretical density: 14.63 g cm⁻³
# - Calculated total energy: -100.2 eV per cell